This record from Alexandria describes V2CdGaO after structural relaxation. The functional is GGA+U.

Lattice parameters (Å, degrees): 4.9298 4.8323 4.9298 90.00 90.00 90.00
Last column: nearest neighbours and their distance in Å.
Fractional coordinates of all 5 atoms:
V 0.0000 0.0000 0.5000  2 Ga 2.46
V 0.5000 0.0000 0.0000  2 Ga 2.46
O 0.5000 0.5000 0.5000  8 V 3.45, 4 Cd 3.49
Ga 0.0000 0.0000 0.0000  2 Cd 2.42, 4 V 2.46
Cd 0.0000 0.5000 0.0000  2 Ga 2.42

E above lowest polymorph	1368	meV/atom
volume	117.44	Å³ per cell
symmetry	P4/mmm
density of states at the Fermi level	3.299	states/eV per cell